VASP calculation (PBE) on a geometry-optimized SiAgAsSe2 structure.

```
data_SiAgAsSe2
_cell_length_a 5.113
_cell_length_b 5.113
_cell_length_c 4.866
_cell_angle_alpha 90.00
_cell_angle_beta 90.00
_cell_angle_gamma 90.00
_space_group_name_H-M_alt 'P 4/m m m'
_space_group_IT_number 123
_space_group_name_Hall '-P 4 2'
loop_
_atom_site_label
_atom_site_type_symbol
_atom_site_fract_x
_atom_site_fract_y
_atom_site_fract_z
Si1 Si 0.000 0.000 0.000
Ag1 Ag 0.500 0.500 0.500
As1 As 0.500 0.500 0.000
Se1 Se 0.000 0.500 0.500
```

Polymorph energy (0 for the lowest one) ... 43.56 kJ per mole of atoms
Calculated total energy ... -3.022 eV per atom
Raw formation energy ... 4.78 eV per formula unit